(1)
! Tb2Tm2Se3S2, relaxed, DFT GGA-PBE; values from VASP
! **DOS at the Fermi energy**: 0.61 states/eV per atom
! **Energy**: -5.623 eV/atom
! **Theoretical density**: 7403 kg/m³
! **Space group**: I4/mmm
&SYSTEM
  ibrav = 0, nat = 9, ntyp = 4
/
ATOMIC_SPECIES
Tb 158.93 Tb.upf
Tm 168.93 Tm.upf
Se 78.96 Se.upf
S 32.06 S.upf
CELL_PARAMETERS angstrom
-4.9645 -1.4436 1.9295
2.1609 -4.6225 2.1015
2.7637 6.4120 4.0165
ATOMIC_POSITIONS crystal
Tb 0.2115 0.2115 0.4231
Tb 0.7885 0.7885 0.5769
Tm 0.5000 0.0000 0.0000
Tm 0.0000 0.5000 0.0000
Se 0.0000 0.0000 0.0000
Se 0.2500 0.7500 0.5000
Se 0.7500 0.2500 0.5000
S 0.5985 0.5985 0.1970
S 0.4015 0.4015 0.8030

(2)
! TbUSeS2, relaxed, DFT GGA-PBE; values from VASP
! **DOS at the Fermi energy**: 1.93 states/eV per atom
! **Energy**: -6.746 eV/atom
! **Theoretical density**: 7198 kg/m³
! **Space group**: I4mm
&SYSTEM
  ibrav = 0, nat = 5, ntyp = 4
/
ATOMIC_SPECIES
Tb 158.93 Tb.upf
U 238.03 U.upf
Se 78.96 Se.upf
S 32.06 S.upf
CELL_PARAMETERS angstrom
4.3368 0.0000 0.0000
0.0000 4.3368 0.0000
-2.1684 -2.1684 6.6244
ATOMIC_POSITIONS crystal
Tb 0.8676 0.8676 0.7352
U 0.1304 0.1304 0.2609
Se 0.5032 0.5032 0.0064
S 0.7494 0.2494 0.4987
S 0.2494 0.7494 0.4987

(3)
! Tb2YSe2S2, relaxed, DFT GGA-PBE; values from VASP
! **DOS at the Fermi energy**: 0.36 states/eV per atom
! **Energy**: -5.918 eV/atom
! **Theoretical density**: 5590 kg/m³
! **Space group**: I4/mmm
&SYSTEM
  ibrav = 0, nat = 7, ntyp = 4
/
ATOMIC_SPECIES
Tb 158.93 Tb.upf
Y 88.91 Y.upf
Se 78.96 Se.upf
S 32.06 S.upf
CELL_PARAMETERS angstrom
-4.9050 -0.2332 1.2789
0.9976 -3.8758 3.1197
3.1452 6.7251 3.2223
ATOMIC_POSITIONS crystal
Tb 0.3802 0.3802 0.7605
Tb 0.6198 0.6198 0.2395
Y 0.0000 0.0000 0.0000
Se 0.1906 0.1906 0.3812
Se 0.8094 0.8094 0.6188
S 0.0000 0.5000 0.0000
S 0.5000 0.0000 0.0000

(4)
! Tb2Y2Se2S3, relaxed, DFT GGA-PBE; values from VASP
! **DOS at the Fermi energy**: 0.58 states/eV per atom
! **Energy**: -6.321 eV/atom
! **Theoretical density**: 5952 kg/m³
! **Space group**: I4/mmm
&SYSTEM
  ibrav = 0, nat = 9, ntyp = 4
/
ATOMIC_SPECIES
Tb 158.93 Tb.upf
Y 88.91 Y.upf
Se 78.96 Se.upf
S 32.06 S.upf
CELL_PARAMETERS angstrom
5.3710 0.0000 0.0000
0.0000 5.3710 0.0000
-2.6855 -2.6855 7.2508
ATOMIC_POSITIONS crystal
Tb 0.5000 0.0000 0.0000
Tb 0.0000 0.5000 0.0000
Y 0.2027 0.2027 0.4054
Y 0.7973 0.7973 0.5946
Se 0.6030 0.6030 0.2059
Se 0.3970 0.3970 0.7941
S 0.0000 0.0000 0.0000
S 0.2500 0.7500 0.5000
S 0.7500 0.2500 0.5000

(5)
! Tb8ZnSe4S3, relaxed, DFT GGA-PBE; values from VASP
! **DOS at the Fermi energy**: 0.51 states/eV per atom
! **Energy**: -5.728 eV/atom
! **Theoretical density**: 7770 kg/m³
! **Space group**: R-3m
&SYSTEM
  ibrav = 0, nat = 16, ntyp = 4
/
ATOMIC_SPECIES
Tb 158.93 Tb.upf
Zn 65.41 Zn.upf
Se 78.96 Se.upf
S 32.06 S.upf
CELL_PARAMETERS angstrom
-7.8610 1.4456 0.8438
-1.3804 -7.9758 0.8043
5.2946 3.6223 4.8423
ATOMIC_POSITIONS crystal
Tb 0.2461 0.7353 0.9892
Tb 0.2461 0.7352 0.4922
Tb 0.2575 0.2723 0.5149
Tb 0.7430 0.7353 0.9892
Tb 0.2570 0.2647 0.0108
Tb 0.7425 0.7277 0.4851
Tb 0.7539 0.2648 0.5078
Tb 0.7539 0.2647 0.0108
Zn 0.0000 0.5000 0.0000
Se 0.5000 0.0000 0.0000
Se 0.5000 0.0000 0.5000
Se 0.0000 0.0000 0.0000
Se 0.0000 0.0000 0.5000
S 0.5000 0.5000 0.0000
S 0.5000 0.5000 0.5000
S 0.0000 0.5000 0.5000

(6)
! Tb6ZnSe2S3, relaxed, DFT GGA-PBE; values from VASP
! **DOS at the Fermi energy**: 0.38 states/eV per atom
! **Energy**: -5.683 eV/atom
! **Theoretical density**: 7652 kg/m³
! **Space group**: C2/m
&SYSTEM
  ibrav = 0, nat = 12, ntyp = 4
/
ATOMIC_SPECIES
Tb 158.93 Tb.upf
Zn 65.41 Zn.upf
Se 78.96 Se.upf
S 32.06 S.upf
CELL_PARAMETERS angstrom
6.9865 0.0071 0.0037
-3.4854 6.0550 0.0037
-1.1643 -2.0159 6.5245
ATOMIC_POSITIONS crystal
Tb 0.9138 0.5851 0.7407
Tb 0.7595 0.7595 0.2612
Tb 0.0862 0.4149 0.2593
Tb 0.5851 0.9138 0.7407
Tb 0.2405 0.2405 0.7388
Tb 0.4149 0.0862 0.2593
Zn 0.0000 0.0000 0.0000
Se 0.3344 0.6656 0.0000
Se 0.6656 0.3344 0.0000
S 0.1702 0.8298 0.5000
S 0.8298 0.1702 0.5000
S 0.5000 0.5000 0.5000

(7)
! TcSeS4, relaxed, DFT GGA-PBE; values from VASP
! **DOS at the Fermi energy**: 0.35 states/eV per atom
! **Energy**: -5.109 eV/atom
! **Theoretical density**: 3514 kg/m³
! **Space group**: P-1
&SYSTEM
  ibrav = 0, nat = 12, ntyp = 3
/
ATOMIC_SPECIES
Tc 98.00 Tc.upf
Se 78.96 Se.upf
S 32.06 S.upf
CELL_PARAMETERS angstrom
-3.0713 -1.7271 4.9646
-2.2969 -4.8032 -5.0590
6.9876 -1.4402 2.0410
ATOMIC_POSITIONS crystal
Tc 0.7818 0.9999 0.9994
Tc 0.2182 0.0001 0.0006
Se 0.2388 0.4649 0.4957
Se 0.7612 0.5351 0.5043
S 0.1264 0.3319 0.1654
S 0.0389 0.9377 0.2333
S 0.4116 0.9201 0.7133
S 0.5883 0.0799 0.2867
S 0.8735 0.6681 0.8346
S 0.5417 0.2154 0.9400
S 0.4582 0.7846 0.0600
S 0.9611 0.0623 0.7667

(8)
! TcSeS, relaxed, DFT GGA-PBE; values from VASP
! **DOS at the Fermi energy**: 1.00 states/eV per atom
! **Theoretical density**: 5678 kg/m³
! **Relative energy among the computed polymorphs**: 194 meV/atom
! **Space group**: Cm
&SYSTEM
  ibrav = 0, nat = 6, ntyp = 3
/
ATOMIC_SPECIES
S 32.06 S.upf
Tc 98.00 Tc.upf
Se 78.96 Se.upf
CELL_PARAMETERS angstrom
7.2375 0.0000 0.0005
0.0000 3.1261 0.0000
-0.0669 0.0000 5.4035
ATOMIC_POSITIONS crystal
S 0.6138 0.0000 0.5975
S 0.6138 0.5000 0.0975
Tc 0.8244 0.0000 0.2675
Tc 0.8244 0.5000 0.7675
Se 0.0878 0.0000 0.9387
Se 0.0878 0.5000 0.4387

(9)
! TcSeS, relaxed, DFT GGA-PBE; values from VASP
! **DOS at the Fermi energy**: 0.67 states/eV per atom
! **Theoretical density**: 5229 kg/m³
! **Relative energy among the computed polymorphs**: 4 meV/atom
! **Space group**: Pm
&SYSTEM
  ibrav = 0, nat = 6, ntyp = 3
/
ATOMIC_SPECIES
S 32.06 S.upf
Tc 98.00 Tc.upf
Se 78.96 Se.upf
CELL_PARAMETERS angstrom
-2.7357 -4.3755 -2.8034
2.3597 -1.9721 0.7753
-2.3777 -0.0625 7.0779
ATOMIC_POSITIONS crystal
S 0.2631 0.0000 0.1695
S 0.7507 0.0000 0.7678
Tc 0.4415 0.0000 0.9328
Tc 0.0474 0.5000 0.9429
Se 0.2187 0.5000 0.6792
Se 0.7528 0.5000 0.1442

(10)
! TcSeS2, relaxed, DFT GGA-PBE; values from VASP
! **DOS at the Fermi energy**: 0.61 states/eV per atom
! **Energy**: -5.774 eV/atom
! **Theoretical density**: 4581 kg/m³
! **Space group**: Cm
&SYSTEM
  ibrav = 0, nat = 16, ntyp = 3
/
ATOMIC_SPECIES
S 32.06 S.upf
Tc 98.00 Tc.upf
Se 78.96 Se.upf
CELL_PARAMETERS angstrom
-2.9464 -5.0769 5.3675
2.1916 1.0021 2.1508
-8.1069 10.4918 3.3724
ATOMIC_POSITIONS crystal
S 0.7826 0.0000 0.3515
S 0.7826 0.5000 0.8515
S 0.2087 0.0000 0.3951
S 0.2087 0.5000 0.8951
S 0.8773 0.0000 0.7515
S 0.8773 0.5000 0.2515
S 0.5768 0.0000 0.9570
S 0.5768 0.5000 0.4570
Tc 0.1894 0.0000 0.7653
Tc 0.1894 0.5000 0.2653
Tc 0.4698 0.0000 0.3363
Tc 0.4698 0.5000 0.8363
Se 0.4556 0.0000 0.6931
Se 0.4556 0.5000 0.1931
Se 0.0621 0.0000 0.1338
Se 0.0621 0.5000 0.6338

(11)
! Tc2SeS, relaxed, DFT GGA-PBE; values from VASP
! **DOS at the Fermi energy**: 0.92 states/eV per atom
! **Theoretical density**: 6529 kg/m³
! **Relative energy among the computed polymorphs**: 0 meV/atom
! **Space group**: I-42d
&SYSTEM
  ibrav = 0, nat = 8, ntyp = 3
/
ATOMIC_SPECIES
S 32.06 S.upf
Tc 98.00 Tc.upf
Se 78.96 Se.upf
CELL_PARAMETERS angstrom
-1.3247 -0.6441 5.1931
-3.5420 -3.8329 -1.3789
1.3913 -5.9580 2.4214
ATOMIC_POSITIONS crystal
S 0.5000 0.5000 0.0000
S 0.2500 0.7500 0.5000
Tc 0.5981 0.1250 0.2500
Tc 0.1519 0.6250 0.2500
Tc 0.3750 0.4019 0.7500
Tc 0.8750 0.8481 0.7500
Se 0.0000 0.0000 0.0000
Se 0.7500 0.2500 0.5000

(12)
! TcSeS2, relaxed, DFT GGA-PBE; values from VASP
! **DOS at the Fermi energy**: 0.44 states/eV per atom
! **Energy**: -5.792 eV/atom
! **Theoretical density**: 4001 kg/m³
! **Space group**: P1
&SYSTEM
  ibrav = 0, nat = 8, ntyp = 3
/
ATOMIC_SPECIES
S 32.06 S.upf
Tc 98.00 Tc.upf
Se 78.96 Se.upf
CELL_PARAMETERS angstrom
3.2617 0.0004 -0.0001
-1.5465 7.2287 -0.0078
-0.0591 -1.3907 8.4894
ATOMIC_POSITIONS crystal
S 0.0150 0.7966 0.7336
S 0.2049 0.7615 0.2066
S 0.5476 0.4401 0.9284
S 0.8036 0.9215 0.5647
Tc 0.5939 0.5327 0.2108
Tc 0.1696 0.6840 0.4575
Se 0.5460 0.4243 0.4659
Se 0.4359 0.2064 0.0549

(13)
! TcSeS, relaxed, DFT GGA-PBE; values from VASP
! **DOS at the Fermi energy**: 0.68 states/eV per atom
! **Theoretical density**: 5211 kg/m³
! **Relative energy among the computed polymorphs**: 4 meV/atom
! **Space group**: Cm
&SYSTEM
  ibrav = 0, nat = 12, ntyp = 3
/
ATOMIC_SPECIES
S 32.06 S.upf
Tc 98.00 Tc.upf
Se 78.96 Se.upf
CELL_PARAMETERS angstrom
5.8731 0.0000 0.0034
0.0000 3.1733 0.0000
-5.7172 0.0000 14.2915
ATOMIC_POSITIONS crystal
S 0.1348 0.0000 0.3206
S 0.1348 0.5000 0.8206
S 0.9694 0.0000 0.5208
S 0.9694 0.5000 0.0208
Tc 0.9892 0.0000 0.9078
Tc 0.9892 0.5000 0.4078
Tc 0.5865 0.0000 0.4027
Tc 0.5865 0.5000 0.9027
Se 0.5902 0.0000 0.7763
Se 0.5902 0.5000 0.2763
Se 0.4577 0.0000 0.0081
Se 0.4577 0.5000 0.5081

(14)
! TcSeS2, relaxed, DFT GGA-PBE; values from VASP
! **DOS at the Fermi energy**: 0.94 states/eV per atom
! **Energy**: -4.823 eV/atom
! **Theoretical density**: 5495 kg/m³
! **Space group**: R-3m
&SYSTEM
  ibrav = 0, nat = 4, ntyp = 3
/
ATOMIC_SPECIES
S 32.06 S.upf
Tc 98.00 Tc.upf
Se 78.96 Se.upf
CELL_PARAMETERS angstrom
1.8518 0.0000 8.1774
-0.9259 1.6037 8.1774
-0.9259 -1.6037 8.1774
ATOMIC_POSITIONS crystal
S 0.9100 0.9100 0.9100
S 0.0900 0.0900 0.0900
Tc 0.0000 0.0000 0.0000
Se 0.5000 0.5000 0.5000

(15)
! Tc4Se2S3, relaxed, DFT GGA-PBE; values from VASP
! **DOS at the Fermi energy**: 0.56 states/eV per atom
! **Energy**: -6.960 eV/atom
! **Theoretical density**: 5100 kg/m³
! **Space group**: C2/c
&SYSTEM
  ibrav = 0, nat = 18, ntyp = 3
/
ATOMIC_SPECIES
Tc 98.00 Tc.upf
Se 78.96 Se.upf
S 32.06 S.upf
CELL_PARAMETERS angstrom
5.0624 0.0891 -0.5792
-0.8802 9.0645 -0.2872
0.3474 0.3297 9.0991
ATOMIC_POSITIONS crystal
Tc 0.6038 0.1408 0.0226
Tc 0.8962 0.9774 0.8592
Tc 0.3962 0.8592 0.9774
Tc 0.1038 0.0226 0.1408
Tc 0.9324 0.4061 0.3901
Tc 0.5676 0.6099 0.5939
Tc 0.0676 0.5939 0.6099
Tc 0.4324 0.3901 0.4061
Se 0.6286 0.3809 0.1661
Se 0.8714 0.8339 0.6191
Se 0.3714 0.6191 0.8339
Se 0.1286 0.1661 0.3809
S 0.0510 0.2017 0.9708
S 0.4490 0.0292 0.7983
S 0.9490 0.7983 0.0292
S 0.5510 0.9708 0.2017
S 0.7500 0.3827 0.6173
S 0.2500 0.6173 0.3827

(16)
! TcSeS2, relaxed, DFT GGA-PBE; values from VASP
! **DOS at the Fermi energy**: 0.91 states/eV per atom
! **Energy**: -5.319 eV/atom
! **Theoretical density**: 4636 kg/m³
! **Space group**: I-42d
&SYSTEM
  ibrav = 0, nat = 8, ntyp = 3
/
ATOMIC_SPECIES
S 32.06 S.upf
Tc 98.00 Tc.upf
Se 78.96 Se.upf
CELL_PARAMETERS angstrom
-5.1285 3.4234 1.0040
-0.4115 -2.3140 5.7883
-0.2599 3.8734 4.9013
ATOMIC_POSITIONS crystal
S 0.6897 0.1250 0.2500
S 0.0603 0.6250 0.2500
S 0.3750 0.3103 0.7500
S 0.8750 0.9397 0.7500
Tc 0.0000 0.0000 0.0000
Tc 0.7500 0.2500 0.5000
Se 0.5000 0.5000 0.0000
Se 0.2500 0.7500 0.5000

(17)
! TcSeS2, relaxed, DFT GGA-PBE; values from VASP
! **DOS at the Fermi energy**: 0.59 states/eV per atom
! **Energy**: -5.705 eV/atom
! **Theoretical density**: 4325 kg/m³
! **Space group**: Cm
&SYSTEM
  ibrav = 0, nat = 16, ntyp = 3
/
ATOMIC_SPECIES
S 32.06 S.upf
Tc 98.00 Tc.upf
Se 78.96 Se.upf
CELL_PARAMETERS angstrom
-2.5846 7.4741 -2.2448
-2.2135 -1.3268 -1.8690
-8.9612 -0.4554 10.9364
ATOMIC_POSITIONS crystal
S 0.8161 0.0000 0.5824
S 0.8161 0.5000 0.0824
S 0.1891 0.0000 0.1193
S 0.1891 0.5000 0.6193
S 0.8776 0.0000 0.7215
S 0.8776 0.5000 0.2215
S 0.5529 0.0000 0.5744
S 0.5529 0.5000 0.0744
Tc 0.1835 0.0000 0.7463
Tc 0.1835 0.5000 0.2463
Tc 0.4455 0.0000 0.1824
Tc 0.4455 0.5000 0.6824
Se 0.4618 0.0000 0.8195
Se 0.4618 0.5000 0.3195
Se 0.0957 0.0000 0.3705
Se 0.0957 0.5000 0.8705

(18)
! TcSeS2, relaxed, DFT GGA-PBE; values from VASP
! **DOS at the Fermi energy**: 0.58 states/eV per atom
! **Energy**: -5.741 eV/atom
! **Theoretical density**: 4212 kg/m³
! **Space group**: P1
&SYSTEM
  ibrav = 0, nat = 8, ntyp = 3
/
ATOMIC_SPECIES
S 32.06 S.upf
Tc 98.00 Tc.upf
Se 78.96 Se.upf
CELL_PARAMETERS angstrom
-1.1899 -2.9424 -0.4312
1.1471 0.5082 -6.5553
8.2620 -2.2047 3.8349
ATOMIC_POSITIONS crystal
S 0.0021 0.6586 0.9262
S 0.7487 0.8561 0.2483
S 0.7642 0.3672 0.8122
S 0.4198 0.8806 0.6180
Tc 0.2096 0.5800 0.1643
Tc 0.8362 0.7171 0.4451
Se 0.3100 0.4183 0.3806
Se 0.6574 0.2892 0.0277

(19)
! TcSeS, relaxed, DFT GGA-PBE; values from VASP
! **DOS at the Fermi energy**: 0.73 states/eV per atom
! **Theoretical density**: 5536 kg/m³
! **Relative energy among the computed polymorphs**: 114 meV/atom
! **Space group**: Cm
&SYSTEM
  ibrav = 0, nat = 6, ntyp = 3
/
ATOMIC_SPECIES
S 32.06 S.upf
Tc 98.00 Tc.upf
Se 78.96 Se.upf
CELL_PARAMETERS angstrom
-3.3849 1.7108 5.5824
0.8947 -2.7607 1.3886
5.6000 2.1396 0.6456
ATOMIC_POSITIONS crystal
S 0.6141 0.0000 0.3020
S 0.6141 0.5000 0.8020
Tc 0.8307 0.0000 0.6966
Tc 0.8307 0.5000 0.1966
Se 0.0811 0.0000 0.4506
Se 0.0811 0.5000 0.9506

(20)
! TcSeS2, relaxed, DFT GGA-PBE; values from VASP
! **DOS at the Fermi energy**: 0.75 states/eV per atom
! **Energy**: -5.730 eV/atom
! **Theoretical density**: 3722 kg/m³
! **Space group**: Cm
&SYSTEM
  ibrav = 0, nat = 8, ntyp = 3
/
ATOMIC_SPECIES
S 32.06 S.upf
Tc 98.00 Tc.upf
Se 78.96 Se.upf
CELL_PARAMETERS angstrom
-0.6420 2.7094 0.9232
-10.4738 -1.3876 -3.2112
-1.2485 -3.5554 5.6085
ATOMIC_POSITIONS crystal
S 0.4836 0.1428 0.3375
S 0.4836 0.8572 0.3375
S 0.4836 0.6428 0.8375
S 0.4836 0.3572 0.8375
Tc 0.9327 0.0000 0.2179
Tc 0.9327 0.5000 0.7179
Se 0.7840 0.0000 0.8653
Se 0.7840 0.5000 0.3653

(21)
! TcSeS2, relaxed, DFT GGA-PBE; values from VASP
! **DOS at the Fermi energy**: 0.29 states/eV per atom
! **Energy**: -5.725 eV/atom
! **Theoretical density**: 4368 kg/m³
! **Space group**: Cm
&SYSTEM
  ibrav = 0, nat = 16, ntyp = 3
/
ATOMIC_SPECIES
S 32.06 S.upf
Tc 98.00 Tc.upf
Se 78.96 Se.upf
CELL_PARAMETERS angstrom
-0.5262 6.0941 -0.0239
-2.5311 -0.2252 -1.6906
-10.4948 -4.9025 16.3658
ATOMIC_POSITIONS crystal
S 0.0362 0.0000 0.4248
S 0.0362 0.5000 0.9248
S 0.4213 0.0000 0.0817
S 0.4213 0.5000 0.5817
S 0.3341 0.0000 0.4098
S 0.3341 0.5000 0.9098
S 0.0387 0.0000 0.7262
S 0.0387 0.5000 0.2262
Tc 0.6720 0.0000 0.6461
Tc 0.6720 0.5000 0.1461
Tc 0.2771 0.0000 0.1805
Tc 0.2771 0.5000 0.6805
Se 0.5421 0.0000 0.7554
Se 0.5421 0.5000 0.2554
Se 0.9113 0.0000 0.0866
Se 0.9113 0.5000 0.5866

(22)
! TcSeS2, relaxed, DFT GGA-PBE; values from VASP
! **DOS at the Fermi energy**: 0.42 states/eV per atom
! **Energy**: -5.777 eV/atom
! **Theoretical density**: 3823 kg/m³
! **Space group**: P1
&SYSTEM
  ibrav = 0, nat = 8, ntyp = 3
/
ATOMIC_SPECIES
S 32.06 S.upf
Tc 98.00 Tc.upf
Se 78.96 Se.upf
CELL_PARAMETERS angstrom
3.4805 -0.0068 0.0032
0.3684 7.5249 0.0218
0.0482 1.9918 8.0020
ATOMIC_POSITIONS crystal
S 0.6126 0.2492 0.3126
S 0.8113 0.2364 0.8479
S 0.1015 0.5269 0.0464
S 0.3459 0.1250 0.5303
Tc 0.2871 0.4591 0.7780
Tc 0.8011 0.3469 0.5605
Se 0.2785 0.5935 0.4758
Se 0.7863 0.6959 0.8261

(23)
! TcSeS3, relaxed, DFT GGA-PBE; values from VASP
! **DOS at the Fermi energy**: 1.19 states/eV per atom
! **Theoretical density**: 4636 kg/m³
! **Relative energy among the computed polymorphs**: 0 meV/atom
! **Space group**: Pm-3m
&SYSTEM
  ibrav = 0, nat = 5, ntyp = 3
/
ATOMIC_SPECIES
S 32.06 S.upf
Tc 98.00 Tc.upf
Se 78.96 Se.upf
CELL_PARAMETERS angstrom
-0.9461 3.0597 -3.3131
-2.3967 -3.2088 -2.2789
-3.8203 1.2553 2.2502
ATOMIC_POSITIONS crystal
S 0.0000 0.5000 0.0000
S 0.0000 0.0000 0.5000
S 0.5000 0.0000 0.0000
Tc 0.0000 0.0000 0.0000
Se 0.5000 0.5000 0.5000